(one)
Computed, not measured: an optimized crystal structure of TbSm2Dy4 at the PBE level of DFT.

## Properties
The value obtained for the magnetization is 0.000 μB/atom. As for the density: 8.14 g cm⁻³.

a b c (Å): 16.8154 3.5395 8.7705
angles (deg): 90.00 119.87 90.00
With the nearest neighbours (Å) after each atom.
Space group C2/m (No. 12)
Inequivalent atoms, fractional coordinates:
1 Tb 0.0000 0.0000 0.0000 [2 per cell]  2 Sm 3.34, 2 Tb 3.54, 4 Dy 3.57
2 Sm 0.0697 0.0000 0.4295 [4 per cell]  1 Sm 3.15, 3 Dy 3.33-3.53, 1 Tb 3.34
3 Dy 0.1443 0.5000 0.8428 [4 per cell]  7 Dy 3.54-3.74, 4 Sm 3.64-3.65, 2 Tb 3.77
4 Dy 0.2048 0.5000 0.2929 [4 per cell]  3 Sm 3.33-3.53, 5 Dy 3.54-3.63, 2 Tb 3.57

(two)
Computed, not measured: an optimized crystal structure of TbSm2Dy4 at the PBE level of DFT.

## Properties
The value obtained for the magnetization is 0.000 μB/atom. As for the density: 8.15 g cm⁻³.

a b c (Å): 6.0719 6.6121 11.6553
angles (deg): 90.00 104.85 90.00
With the nearest neighbours (Å) after each atom.
Space group P2_1/m (No. 11)
Inequivalent atoms, fractional coordinates:
1 Tb 0.0219 0.2500 0.3572 [2 per cell]  2 Sm 3.34-3.46, 6 Dy 3.36-3.45
2 Sm 0.1545 0.2500 0.9461 [2 per cell]  9 Dy 3.32-3.52
3 Sm 0.4008 0.7500 0.5069 [2 per cell]  2 Tb 3.34-3.46, 5 Dy 3.40-3.74, 2 Sm 3.54
4 Dy 0.1470 0.2500 0.6606 [2 per cell]  2 Sm 3.32-3.40, 3 Tb 3.42-3.45, 2 Dy 3.45
5 Dy 0.2835 0.7500 0.9270 [2 per cell]  4 Sm 3.35-3.42, 1 Tb 3.36, 4 Dy 3.51-3.62
6 Dy 0.3475 0.5049 0.2115 [4 per cell]  5 Dy 3.24-3.62, 1 Tb 3.37, 2 Sm 3.45-3.52

It is (one) that is most stable; the runner-up trails by 0.088 eV/atom.

(one)
Computed, not measured: an optimized crystal structure of Tb3SmDy3 at the PBE level of DFT.

## Properties
The value obtained for the magnetization is 0.000 μB/atom. As for the density: 7.86 g cm⁻³.

a b c (Å): 6.1774 6.1774 42.7684
angles (deg): 90.00 90.00 120.00
With the nearest neighbours (Å) after each atom.
Space group R-3 (No. 148, hexagonal axes)
Inequivalent atoms, fractional coordinates:
1 Tb 0.0000 0.3316 0.1328 [18 per cell]  3 Dy 3.49, 9 Tb 3.55-3.58
2 Sm 0.0000 0.0000 0.3333 [6 per cell]  6 Dy 3.53, 3 Sm 3.57
3 Dy 0.0001 0.3341 0.9330 [18 per cell]  3 Tb 3.49, 2 Sm 3.53, 6 Dy 3.56-3.57

(two)
Computed, not measured: an optimized crystal structure of Tb3SmDy3 at the PBE level of DFT.

## Properties
The value obtained for the magnetization is 0.000 μB/atom. As for the density: 8.19 g cm⁻³.

a b c (Å): 9.5800 9.5800 5.6898
angles (deg): 90.00 90.00 120.00
With the nearest neighbours (Å) after each atom.
Space group P6_3/m (No. 176)
Inequivalent atoms, fractional coordinates:
1 Tb 0.0485 0.2378 0.2500 [6 per cell]  6 Tb 3.53-3.61, 5 Dy 3.54-3.63, 1 Sm 3.62
2 Sm 0.3333 0.6667 0.2500 [2 per cell]  9 Dy 3.53-3.62, 3 Tb 3.62
3 Dy 0.0955 0.4766 0.7500 [6 per cell]  3 Sm 3.53-3.62, 4 Dy 3.53-3.62, 5 Tb 3.54-3.63

It is (two) that is most stable; the runner-up trails by 0.127 eV/atom.

(one)
Computed, not measured: an optimized crystal structure of Tb4Sm5Dy at the PBE level of DFT.

## Properties
The value obtained for the magnetization is 0.000 μB/atom. As for the density: 7.62 g cm⁻³.

a b c (Å): 10.5970 10.5970 6.0160
angles (deg): 90.00 90.00 90.00
With the nearest neighbours (Å) after each atom.
Space group I4mm (No. 107)
Inequivalent atoms, fractional coordinates:
1 Tb 0.0000 0.3251 0.0000 [8 per cell]  2 Sm 3.30
2 Sm 0.0000 0.0000 0.2419 [2 per cell]  1 Dy 2.82
3 Sm 0.1892 0.1892 0.5096 [8 per cell]  1 Dy 3.25, 3 Sm 3.26-3.52, 2 Tb 3.30
4 Dy 0.0000 0.0000 0.7736 [2 per cell]  1 Sm 2.82

(two)
Computed, not measured: an optimized crystal structure of Tb4Sm5Dy at the PBE level of DFT.

## Properties
The value obtained for the magnetization is 0.000 μB/atom. As for the density: 7.86 g cm⁻³.

a b c (Å): 3.5885 9.4943 10.1681
angles (deg): 74.48 89.94 79.15
With the nearest neighbours (Å) after each atom.
Space group P-1 (No. 2)
Inequivalent atoms, fractional coordinates:
1 Tb 0.1000 0.2999 0.2978 [2 per cell]  4 Tb 3.57-3.59, 2 Dy 3.57-3.58, 6 Sm 3.59-3.61
2 Tb 0.3000 0.8993 0.9003 [2 per cell]  5 Sm 3.57-3.60, 6 Tb 3.57-3.60, 1 Dy 3.58
3 Sm 0.0999 0.3004 0.8022 [2 per cell]  4 Tb 3.57-3.60, 2 Dy 3.57, 6 Sm 3.59-3.61
4 Sm 0.2997 0.9003 0.3997 [2 per cell]  5 Tb 3.59-3.61, 7 Sm 3.59-3.61
5 Sm 0.5000 0.5000 0.5000 [1 per cell]  8 Sm 3.59-3.61, 4 Tb 3.61
6 Dy 0.5000 0.5000 0.0000 [1 per cell]  4 Sm 3.57, 6 Tb 3.57-3.58, 2 Dy 3.59

It is (two) that is most stable; the runner-up trails by 0.244 eV/atom.

(one)
Computed, not measured: an optimized crystal structure of Tb5Sm2Dy2 at the PBE level of DFT.

## Properties
The value obtained for the magnetization is 0.000 μB/atom. As for the density: 7.97 g cm⁻³.

a b c (Å): 14.8875 11.8062 6.7370
angles (deg): 90.00 90.00 90.00
With the nearest neighbours (Å) after each atom.
Space group Ima2 (No. 46)
Inequivalent atoms, fractional coordinates:
1 Tb 0.0519 0.2484 0.0000 [8 per cell]  4 Tb 3.16-3.37, 1 Sm 3.28, 1 Dy 3.32
2 Tb 0.1431 0.7352 0.8154 [8 per cell]  4 Tb 3.16-3.39, 1 Dy 3.34, 1 Sm 3.43
3 Tb 0.2500 0.2451 0.8046 [4 per cell]  6 Tb 3.23-3.59, 2 Sm 3.40-3.61, 2 Dy 3.57
4 Sm 0.0000 0.0000 0.1870 [4 per cell]  4 Tb 3.28-3.60, 2 Dy 3.64
5 Sm 0.2500 0.5090 0.6018 [4 per cell]  4 Tb 3.40-3.61, 2 Dy 3.56, 2 Sm 3.77
6 Dy 0.1268 0.0009 0.6489 [8 per cell]  4 Tb 3.32-3.59, 2 Sm 3.56-3.64, 1 Dy 3.67

(two)
Computed, not measured: an optimized crystal structure of Tb5Sm2Dy2 at the PBE level of DFT.

## Properties
The value obtained for the magnetization is 0.000 μB/atom. As for the density: 7.69 g cm⁻³.

a b c (Å): 21.6057 3.5020 8.2243
angles (deg): 90.00 99.59 90.00
With the nearest neighbours (Å) after each atom.
Space group C2/m (No. 12)
Inequivalent atoms, fractional coordinates:
1 Tb 0.0000 0.0000 0.0000 [2 per cell]  4 Tb 3.25-3.50, 4 Dy 3.41
2 Tb 0.0970 0.0000 0.7375 [4 per cell]  5 Tb 3.25-3.50, 4 Dy 3.55-3.60, 1 Sm 3.57
3 Tb 0.1903 0.5000 0.5286 [4 per cell]  1 Dy 3.18, 6 Tb 3.22-3.50, 1 Sm 3.50
4 Sm 0.1817 0.0000 0.1485 [4 per cell]  5 Tb 3.50-3.91, 2 Sm 3.50
5 Dy 0.0474 0.5000 0.3554 [4 per cell]  5 Tb 3.18-3.55, 3 Dy 3.39-3.50

It is (one) that is most stable; the runner-up trails by 0.026 eV/atom.

(one)
Computed, not measured: an optimized crystal structure of Tb3Sm2Dy at the PBE level of DFT.

## Properties
The value obtained for the magnetization is 0.000 μB/atom. As for the density: 7.85 g cm⁻³.

a b c (Å): 14.9744 9.6398 6.0110
angles (deg): 90.00 113.60 90.00
With the nearest neighbours (Å) after each atom.
Space group C2/c (No. 15)
Inequivalent atoms, fractional coordinates:
1 Tb 0.0000 0.1090 0.2500 [4 per cell]  6 Sm 3.67-3.69, 4 Tb 3.67, 2 Dy 4.06
2 Tb 0.2333 0.4173 0.4795 [8 per cell]  3 Tb 3.26-3.40, 1 Sm 3.44, 2 Dy 3.62-3.63
3 Sm 0.1338 0.2203 0.8851 [8 per cell]  1 Sm 3.24, 1 Tb 3.44, 2 Dy 3.59-3.60
4 Dy 0.0000 0.5000 0.0000 [4 per cell]  2 Dy 3.01

(two)
Computed, not measured: an optimized crystal structure of Tb3Sm2Dy at the PBE level of DFT.

## Properties
The value obtained for the magnetization is 0.000 μB/atom. As for the density: 8.05 g cm⁻³.

a b c (Å): 17.0775 5.6648 9.7560
angles (deg): 90.00 124.76 90.00
With the nearest neighbours (Å) after each atom.
Space group C2/m (No. 12)
Inequivalent atoms, fractional coordinates:
1 Tb 0.0012 0.0000 0.1684 [4 per cell]  2 Tb 3.26-3.53, 3 Sm 3.26-3.49, 1 Dy 3.65
2 Tb 0.1245 0.5000 0.1194 [4 per cell]  8 Tb 3.49-3.72, 1 Dy 3.51, 5 Sm 3.66-3.77
3 Tb 0.2501 0.0000 0.0892 [4 per cell]  2 Sm 3.27-3.53, 5 Tb 3.32-3.67, 2 Dy 3.66
4 Sm 0.0014 0.5000 0.3350 [4 per cell]  2 Sm 3.25-3.49, 3 Tb 3.26-3.53
5 Sm 0.2502 0.0000 0.4248 [4 per cell]  3 Sm 3.19-3.49, 2 Tb 3.27-3.49
6 Dy 0.1251 0.0000 0.6304 [4 per cell]  1 Dy 3.51, 6 Tb 3.51-3.73, 7 Sm 3.67-3.76

It is (two) that is most stable; the runner-up trails by 0.096 eV/atom.